(1)
Below is a relaxed Li2CdCu2 crystal, with properties calculated at the PBE level.

Properties
**Excess energy over the best structure of this formula in the dataset**: 0.016 eV per atom
**Density of states at the Fermi level**: 2.039 states/eV/f.u.
**Uncorrected energy**: -2.60 eV per atom
**Total magnetic moment**: 0.0 μB per cell
**Formation energy**: -0.07 eV/f.u.

Unit cell a=2.826 b=4.198 c=25.951 alpha=90.00 beta=90.00 gamma=90.00
Space group Imma (No. 74)
One atom of each set of equivalent atoms:
Li  0.000  0.250  0.029 x4
Li  0.000  0.250  0.134 x4
Cd  0.000  0.250  0.582 x4
Cu  0.000  0.250  0.288 x4
Cu  0.000  0.250  0.793 x4



(2)
Below is a relaxed LiCdCu2 crystal, with properties calculated at the PBE level.

Properties
**Density of states at the Fermi level**: 1.012 states/eV/f.u.
**Uncorrected energy**: -2.59 eV per atom
**Total magnetic moment**: 0.0 μB per cell
**Formation energy**: 0.66 eV/f.u.

Unit cell a=3.651 b=3.651 c=18.745 alpha=90.00 beta=90.00 gamma=90.00
Space group I-42d (No. 122)
One atom of each set of equivalent atoms:
Li  0.000  0.000  0.000 x4
Cd  0.000  0.000  0.500 x4
Cu  0.248  0.250  0.125 x8



Which value of total magnetic moment does entry 1 give?
0.0 μB per cell